1.
ZnCd2I: relaxed, PBE.

Summary:
Relative energy among the computed polymorphs (meV/atom): 220
Formation energy without anion corrections (eV/atom): 0.24

Lattice parameters (Å, degrees): 5.470 5.470 5.470 60.00 60.00 60.00
Atoms (fractional coordinates):
I 0.500 0.500 0.500
Cd 0.250 0.250 0.250
Zn 0.000 0.000 0.000
Cd 0.750 0.750 0.750

***

2.
RbZn2Ir: relaxed, PBE.

Summary:
DFT formation energy (meV/atom): 253
Relative energy among the computed polymorphs (meV/atom): 0

Lattice parameters (Å, degrees): 5.435 5.435 8.981 72.39 72.39 90.00
Atoms (fractional coordinates):
Zn 0.875 0.125 0.250
Zn 0.875 0.125 0.750
Zn 0.875 0.625 0.250
Rb 0.500 0.500 0.000
Ir 0.750 0.250 0.500
Rb 0.250 0.750 0.500
Zn 0.375 0.125 0.750
Ir 0.000 0.000 0.000

***

3.
Ac5HgIr2: relaxed, PBE.

Summary:
DFT formation energy (meV/atom): -532

Lattice parameters (Å, degrees): 8.425 8.425 9.487 116.36 116.36 90.00
Atoms (fractional coordinates):
Ac 0.792 0.971 0.263
Hg 0.250 0.250 0.500
Ac 0.208 0.029 0.737
Ir 0.860 0.640 0.000
Ac 0.708 0.208 0.737
Ir 0.360 0.860 0.000
Ir 0.640 0.140 0.000
Ir 0.140 0.360 0.000
Ac 0.529 0.708 0.737
Ac 0.292 0.792 0.263
Ac 0.971 0.471 0.263
Ac 0.000 0.000 0.000
Ac 0.471 0.292 0.263
Hg 0.750 0.750 0.500
Ac 0.500 0.500 0.000
Ac 0.029 0.529 0.737

***

4.
CePrZrIn: relaxed, PBE.

Summary:
DFT formation energy (meV/atom): -17

Lattice parameters (Å, degrees): 5.319 5.319 5.319 60.00 60.00 60.00
Each line ends with the local moment (μB).
Atoms (fractional coordinates):
In 0.250 0.250 0.250  -0.01
Zr 0.500 0.500 0.500  0.06
Ce 0.750 0.750 0.750  0.13
Pr 0.000 0.000 0.000  0.01

***

5.
Ac2Mg3In5: relaxed, PBE.

Summary:
DFT formation energy (meV/atom): -322

Lattice parameters (Å, degrees): 6.760 9.743 9.743 77.12 69.70 69.70
Atoms (fractional coordinates):
In 0.750 0.500 0.500
In 0.984 0.766 0.766
In 0.250 0.500 0.500
Mg 0.250 0.000 0.000
Mg 0.869 0.754 0.509
In 0.886 0.964 0.265
Mg 0.631 0.491 0.246
Mg 0.750 0.000 0.000
In 0.484 0.766 0.766
Ac 0.373 0.866 0.387
Ac 0.873 0.387 0.866
In 0.386 0.265 0.964
In 0.016 0.234 0.234
Ac 0.127 0.613 0.134
Ac 0.627 0.134 0.613
Mg 0.369 0.509 0.754
Mg 0.131 0.246 0.491
In 0.114 0.036 0.735
In 0.516 0.234 0.234
In 0.614 0.735 0.036

***

6.
MnAl12Fe: relaxed, PBE.

Summary:
DFT formation energy (meV/atom): -191

Lattice parameters (Å, degrees): 4.939 4.939 8.800 90.00 90.00 98.38
Atoms (fractional coordinates):
Al 0.144 0.144 0.849
Al 0.856 0.856 0.350
Fe 0.458 0.458 0.000
Al 0.325 0.676 0.751
Al 0.605 0.970 0.000
Al 0.676 0.325 0.751
Al 0.325 0.676 0.249
Al 0.856 0.856 0.650
Al 0.029 0.394 0.500
Mn 0.539 0.539 0.500
Al 0.970 0.605 0.000
Al 0.144 0.144 0.151
Al 0.676 0.325 0.249
Al 0.394 0.029 0.500

***

Number 1: mass density 5.99 g/cm3. Number 2: mass density 5.66 g/cm3. Number 3: mass density 10.90 g/cm3. Number 4: mass density 7.60 g/cm3. Number 5: mass density 6.52 g/cm3. Number 6: mass density 3.40 g/cm3.